The following is a DFT calculation (PBE-GGA) of a relaxed AcPr2Nd4Dy crystal.

As for the crystal system: monoclinic. As for the total DFT energy (no corrections): -4.2976 eV/atom.

abc: 14.023 13.686 7.084
angles: 90.00 120.02 90.00
Space group C2/c (No. 15)
Unique sites:
Ac1 0.250 0.250 0.000 (multiplicity 4)
Pr1 0.000 0.000 0.000 (multiplicity 4)
Pr2 0.250 0.250 0.500 (multiplicity 4)
Nd1 0.000 0.256 0.014 (multiplicity 8)
Nd2 0.245 0.493 0.466 (multiplicity 8)
Dy1 0.000 0.500 0.000 (multiplicity 4)